The following is a meta-GGA SCAN calculation of a crystal of Sr2MgH relaxed with PBEsol, from Alexandria via LeMat-Bulk.

Values from the calculation:
* total moment: 0.4 μB/f.u.
* calculated density: 2.68 g/cm³
* D(E_F): 10.25 states/eV/cell
* E: -0.4913 hartree per atom

Structure (CIF):
```
data_Sr2MgH
_chemical_formula_sum 'Sr8 Mg4 H4'
_cell_length_a 7.642
_cell_length_b 7.642
_cell_length_c 8.496
_cell_angle_alpha 90.00
_cell_angle_beta 90.00
_cell_angle_gamma 90.00
_symmetry_space_group_name_H-M 'I -4 2 d'
_symmetry_Int_Tables_number 122
_symmetry_space_group_name_Hall 'I -4 2bw'
loop_
_atom_site_label
_atom_site_type_symbol
_atom_site_fract_x
_atom_site_fract_y
_atom_site_fract_z
Sr1 Sr 0.138 0.250 0.125
Mg1 Mg 0.000 0.000 0.500
H1 H 0.000 0.000 0.000
```

The following is a meta-GGA SCAN calculation of a crystal of SrMgTcH2 relaxed with PBEsol, from Alexandria via LeMat-Bulk.

Values from the calculation:
* total moment: 3.6 μB/f.u.
* calculated density: 2.99 g/cm³
* D(E_F): 2.77 states/eV/cell
* E: -0.4733 hartree per atom

Structure (CIF):
```
data_SrMgTcH2
_chemical_formula_sum 'Sr1 Mg1 Tc1 H2'
_cell_length_a 4.167
_cell_length_b 4.167
_cell_length_c 6.768
_cell_angle_alpha 90.00
_cell_angle_beta 90.00
_cell_angle_gamma 90.00
_symmetry_space_group_name_H-M 'P 4/m m m'
_symmetry_Int_Tables_number 123
_symmetry_space_group_name_Hall '-P 4 2'
loop_
_atom_site_label
_atom_site_type_symbol
_atom_site_fract_x
_atom_site_fract_y
_atom_site_fract_z
Sr1 Sr 0.000 0.000 0.000
Mg1 Mg 0.000 0.000 0.500
Tc1 Tc 0.500 0.500 0.500
H1 H 0.000 0.500 0.000
```

The following is a meta-GGA SCAN calculation of a crystal of SrYMg2H relaxed with PBEsol, from Alexandria via LeMat-Bulk.

Values from the calculation:
* total moment: 0.0 μB/f.u.
* calculated density: 2.52 g/cm³
* D(E_F): 4.29 states/eV/cell
* E: -0.4491 hartree per atom

Structure (CIF):
```
data_SrYMg2H
_chemical_formula_sum 'Sr1 Y1 Mg2 H1'
_cell_length_a 6.115
_cell_length_b 6.115
_cell_length_c 3.981
_cell_angle_alpha 90.00
_cell_angle_beta 90.00
_cell_angle_gamma 90.00
_symmetry_space_group_name_H-M 'P 4/m m m'
_symmetry_Int_Tables_number 123
_symmetry_space_group_name_Hall '-P 4 2'
loop_
_atom_site_label
_atom_site_type_symbol
_atom_site_fract_x
_atom_site_fract_y
_atom_site_fract_z
Sr1 Sr 0.000 0.000 0.000
Y1 Y 0.500 0.500 0.500
Mg1 Mg 0.000 0.500 0.000
H1 H 0.000 0.000 0.500
```

The following is a meta-GGA SCAN calculation of a crystal of MgTaH3 relaxed with PBEsol, from Alexandria via LeMat-Bulk.

Values from the calculation:
* total moment: 0.0 μB/f.u.
* calculated density: 7.17 g/cm³
* D(E_F): 2.56 states/eV/cell
* E: -0.5983 hartree per atom

Structure (CIF):
```
data_MgTaH3
_chemical_formula_sum 'Mg1 Ta1 H3'
_cell_length_a 3.639
_cell_length_b 3.639
_cell_length_c 3.639
_cell_angle_alpha 90.00
_cell_angle_beta 90.00
_cell_angle_gamma 90.00
_symmetry_space_group_name_H-M 'P m -3 m'
_symmetry_Int_Tables_number 221
_symmetry_space_group_name_Hall '-P 4 2 3'
loop_
_atom_site_label
_atom_site_type_symbol
_atom_site_fract_x
_atom_site_fract_y
_atom_site_fract_z
Mg1 Mg 0.000 0.000 0.000
Ta1 Ta 0.500 0.500 0.500
H1 H 0.000 0.500 0.500
```

The following is a meta-GGA SCAN calculation of a crystal of Mg3TaH relaxed with PBEsol, from Alexandria via LeMat-Bulk.

Values from the calculation:
* total moment: 1.8 μB/f.u.
* calculated density: 5.34 g/cm³
* D(E_F): 2.00 states/eV/cell
* E: -0.6098 hartree per atom

Structure (CIF):
```
data_Mg3TaH
_chemical_formula_sum 'Mg3 Ta1 H1'
_cell_length_a 4.297
_cell_length_b 4.297
_cell_length_c 4.297
_cell_angle_alpha 90.00
_cell_angle_beta 90.00
_cell_angle_gamma 90.00
_symmetry_space_group_name_H-M 'P m -3 m'
_symmetry_Int_Tables_number 221
_symmetry_space_group_name_Hall '-P 4 2 3'
loop_
_atom_site_label
_atom_site_type_symbol
_atom_site_fract_x
_atom_site_fract_y
_atom_site_fract_z
Mg1 Mg 0.000 0.000 0.500
Ta1 Ta 0.500 0.500 0.500
H1 H 0.000 0.000 0.000
```

The following is a meta-GGA SCAN calculation of a crystal of MgZrTa2H relaxed with PBEsol, from Alexandria via LeMat-Bulk.

Values from the calculation:
* total moment: 0.3 μB/f.u.
* calculated density: 6.21 g/cm³
* D(E_F): 4.98 states/eV/cell
* E: -1.1809 hartree per atom

Structure (CIF):
```
data_MgZrTa2H
_chemical_formula_sum 'Mg1 Zr1 Ta2 H1'
_cell_length_a 4.830
_cell_length_b 4.830
_cell_length_c 5.482
_cell_angle_alpha 90.00
_cell_angle_beta 90.00
_cell_angle_gamma 90.00
_symmetry_space_group_name_H-M 'P 4/m m m'
_symmetry_Int_Tables_number 123
_symmetry_space_group_name_Hall '-P 4 2'
loop_
_atom_site_label
_atom_site_type_symbol
_atom_site_fract_x
_atom_site_fract_y
_atom_site_fract_z
Mg1 Mg 0.000 0.000 0.000
Zr1 Zr 0.000 0.000 0.500
Ta1 Ta 0.000 0.500 0.500
H1 H 0.500 0.500 0.000
```

The following is a meta-GGA SCAN calculation of a crystal of Mg3TcH7 relaxed with PBEsol, from Alexandria via LeMat-Bulk.

Values from the calculation:
* total moment: 0.0 μB/f.u.
* calculated density: 2.86 g/cm³
* D(E_F): 0.00 states/eV/cell
* E: -0.2613 hartree per atom

Structure (CIF):
```
data_Mg3TcH7
_chemical_formula_sum 'Mg6 Tc2 H14'
_cell_length_a 4.7665
_cell_length_b 4.7665
_cell_length_c 10.5180
_cell_angle_alpha 90.00
_cell_angle_beta 90.00
_cell_angle_gamma 120.00
_symmetry_space_group_name_H-M 'P 63/m m c'
_symmetry_Int_Tables_number 194
_symmetry_space_group_name_Hall '-P 6c 2c'
loop_
_atom_site_label
_atom_site_type_symbol
_atom_site_fract_x
_atom_site_fract_y
_atom_site_fract_z
Mg1 Mg 0.0000 0.0000 0.2500
Mg2 Mg 0.3333 0.6667 0.0683
Tc1 Tc 0.0000 0.0000 0.0000
H1 H 0.1700 0.3399 0.5978
H2 H 0.3333 0.6667 0.2500
```

The following is a meta-GGA SCAN calculation of a crystal of MgTc2H2 relaxed with PBEsol, from Alexandria via LeMat-Bulk.

Values from the calculation:
* total moment: 0.0 μB/f.u.
* calculated density: 7.25 g/cm³
* D(E_F): 1.63 states/eV/cell
* E: -0.5987 hartree per atom

Structure (CIF):
```
data_MgTc2H2
_chemical_formula_sum 'Mg2 Tc4 H4'
_cell_length_a 3.185
_cell_length_b 3.185
_cell_length_c 10.041
_cell_angle_alpha 90.00
_cell_angle_beta 90.00
_cell_angle_gamma 90.00
_symmetry_space_group_name_H-M 'I 4/m m m'
_symmetry_Int_Tables_number 139
_symmetry_space_group_name_Hall '-I 4 2'
loop_
_atom_site_label
_atom_site_type_symbol
_atom_site_fract_x
_atom_site_fract_y
_atom_site_fract_z
Mg1 Mg 0.000 0.000 0.000
Tc1 Tc 0.000 0.000 0.334
H1 H 0.000 0.500 0.250
```

The following is a meta-GGA SCAN calculation of a crystal of MgTi2H2 relaxed with PBEsol, from Alexandria via LeMat-Bulk.

Values from the calculation:
* total moment: 1.7 μB/f.u.
* calculated density: 3.48 g/cm³
* D(E_F): 4.54 states/eV/cell
* E: -0.3328 hartree per atom

Structure (CIF):
```
data_MgTi2H2
_chemical_formula_sum 'Mg2 Ti4 H4'
_cell_length_a 3.496
_cell_length_b 3.496
_cell_length_c 9.540
_cell_angle_alpha 90.00
_cell_angle_beta 90.00
_cell_angle_gamma 90.00
_symmetry_space_group_name_H-M 'I 4/m m m'
_symmetry_Int_Tables_number 139
_symmetry_space_group_name_Hall '-I 4 2'
loop_
_atom_site_label
_atom_site_type_symbol
_atom_site_fract_x
_atom_site_fract_y
_atom_site_fract_z
Mg1 Mg 0.000 0.000 0.000
Ti1 Ti 0.000 0.000 0.326
H1 H 0.000 0.500 0.250
```

The following is a meta-GGA SCAN calculation of a crystal of MgTi3H8 relaxed with PBEsol, from Alexandria via LeMat-Bulk.

Values from the calculation:
* total moment: 0.0 μB/f.u.
* calculated density: 3.38 g/cm³
* D(E_F): 1.70 states/eV/cell
* E: -0.2642 hartree per atom

Structure (CIF):
```
data_MgTi3H8
_chemical_formula_sum 'Mg1 Ti3 H8'
_cell_length_a 4.422
_cell_length_b 4.422
_cell_length_c 4.422
_cell_angle_alpha 90.00
_cell_angle_beta 90.00
_cell_angle_gamma 90.00
_symmetry_space_group_name_H-M 'P m -3 m'
_symmetry_Int_Tables_number 221
_symmetry_space_group_name_Hall '-P 4 2 3'
loop_
_atom_site_label
_atom_site_type_symbol
_atom_site_fract_x
_atom_site_fract_y
_atom_site_fract_z
Mg1 Mg 0.000 0.000 0.000
Ti1 Ti 0.000 0.500 0.500
H1 H 0.258 0.258 0.258
```

The following is a meta-GGA SCAN calculation of a crystal of Mg2TlHW relaxed with PBEsol, from Alexandria via LeMat-Bulk.

Values from the calculation:
* total moment: 0.0 μB/f.u.
* calculated density: 9.39 g/cm³
* D(E_F): 0.94 states/eV/cell
* E: -1.1224 hartree per atom

Structure (CIF):
```
data_Mg2TlHW
_chemical_formula_sum 'Mg2 Tl1 H1 W1'
_cell_length_a 4.082
_cell_length_b 4.082
_cell_length_c 4.650
_cell_angle_alpha 90.00
_cell_angle_beta 90.00
_cell_angle_gamma 90.00
_symmetry_space_group_name_H-M 'P 4/m m m'
_symmetry_Int_Tables_number 123
_symmetry_space_group_name_Hall '-P 4 2'
loop_
_atom_site_label
_atom_site_type_symbol
_atom_site_fract_x
_atom_site_fract_y
_atom_site_fract_z
Mg1 Mg 0.000 0.500 0.000
Tl1 Tl 0.000 0.000 0.500
H1 H 0.000 0.000 0.000
W1 W 0.500 0.500 0.500
```

The following is a meta-GGA SCAN calculation of a crystal of Mg7VH16 relaxed with PBEsol, from Alexandria via LeMat-Bulk.

Values from the calculation:
* total moment: 1.0 μB/f.u.
* calculated density: 2.02 g/cm³
* D(E_F): 10.26 states/eV/cell
* E: -0.1718 hartree per atom

Structure (CIF):
```
data_Mg7VH16
_chemical_formula_sum 'Mg28 V4 H64'
_cell_length_a 9.209
_cell_length_b 9.209
_cell_length_c 9.209
_cell_angle_alpha 90.00
_cell_angle_beta 90.00
_cell_angle_gamma 90.00
_symmetry_space_group_name_H-M 'F m -3 m'
_symmetry_Int_Tables_number 225
_symmetry_space_group_name_Hall '-F 4 2 3'
loop_
_atom_site_label
_atom_site_type_symbol
_atom_site_fract_x
_atom_site_fract_y
_atom_site_fract_z
Mg1 Mg 0.000 0.000 0.000
Mg2 Mg 0.000 0.250 0.250
V1 V 0.000 0.000 0.500
H1 H 0.115 0.115 0.385
H2 H 0.128 0.128 0.128
```